DFT (PBE) results for a geometry-optimized CeEuTh structure.

Lattice parameters (Å, degrees): 8.3101 8.3101 8.3101 155.29 155.29 35.23
Element x y z (fractional)
Ce1 0.0000 0.0000 0.0000
Eu1 0.6767 0.6767 0.0000
Th1 0.3505 0.3505 0.0000

- formation energy from the elements (eV per atom) = 0.14
- DOS(E_F) (states/eV/f.u.) = 5.65
- crystal system = tetragonal
- E_tot (eV/atom) = -7.740

=====

DFT (PBE) results for a geometry-optimized Tb3Pr6Y2 structure.

Lattice parameters (Å, degrees): 6.3213 8.1288 8.1693 107.38 97.37 104.90
Element x y z (fractional)
Tb1 0.0000 0.0000 0.0000
Tb2 0.0900 0.3615 0.8177
Tb3 0.9100 0.6385 0.1823
Pr1 0.1792 0.7278 0.6352
Pr2 0.3639 0.4543 0.2699
Pr3 0.4530 0.8182 0.0913
Pr4 0.5470 0.1818 0.9087
Pr5 0.6361 0.5457 0.7301
Pr6 0.8208 0.2722 0.3648
Y1 0.2711 0.0889 0.4539
Y2 0.7289 0.9111 0.5461

- formation energy from the elements (eV per atom) = 0.01
- DOS(E_F) (states/eV/f.u.) = 14.96
- crystal system = triclinic
- E_tot (eV/atom) = -5.031

=====

DFT (PBE) results for a geometry-optimized Li5Ru structure.

Lattice parameters (Å, degrees): 4.6382 7.9064 7.9064 18.75 90.00 90.00
Element x y z (fractional)
Li1 0.0000 0.0000 0.0000
Li2 0.0000 0.3051 0.3051
Li3 0.5000 0.0933 0.0933
Li4 0.5000 0.4162 0.4162
Li5 0.5000 0.7374 0.7374
Ru1 0.0000 0.6506 0.6506

- formation energy from the elements (eV per atom) = 0.11
- DOS(E_F) (states/eV/f.u.) = 1.30
- crystal system = orthorhombic
- E_tot (eV/atom) = -3.032

=====

DFT (PBE) results for a geometry-optimized LiTbHgCl6 structure.

Lattice parameters (Å, degrees): 6.7088 6.7088 12.0854 90.00 90.00 120.00
Element x y z (fractional)
Li1 0.0000 0.0000 0.0000
Li2 0.0000 0.0000 0.5000
Tb1 0.3333 0.6667 0.2500
Tb2 0.6667 0.3333 0.7500
Hg1 0.3333 0.6667 0.7500
Hg2 0.6667 0.3333 0.2500
Cl1 0.0058 0.3378 0.1245
Cl2 0.0058 0.6680 0.3755
Cl3 0.3320 0.3378 0.3755
Cl4 0.3320 0.9942 0.1245
Cl5 0.3378 0.0058 0.6245
Cl6 0.3378 0.3320 0.8755
Cl7 0.6622 0.6680 0.1245
Cl8 0.6622 0.9942 0.3755
Cl9 0.6680 0.0058 0.8755
Cl10 0.6680 0.6622 0.6245
Cl11 0.9942 0.3320 0.6245
Cl12 0.9942 0.6622 0.8755

- DOS(E_F) (states/eV/f.u.) = 0.00
- formation energy (no corrections) (eV/atom) = -1.562
- crystal system = trigonal
- E_tot (eV/atom) = -3.554

=====

DFT (PBE) results for a geometry-optimized TlP3H structure.

Lattice parameters (Å, degrees): 5.2322 5.2322 5.2322 90.00 90.00 90.00
Element x y z (fractional)
Tl1 0.0000 0.0000 0.0000
P1 0.0000 0.0000 0.5000
P2 0.0000 0.5000 0.0000
P3 0.5000 0.0000 0.0000
H1 0.5000 0.5000 0.5000

- DOS(E_F) (states/eV/f.u.) = 5.37
- crystal system = cubic
- E_tot (eV/atom) = -2.433

=====

DFT (PBE) results for a geometry-optimized LuSnAu2 structure.

Lattice parameters (Å, degrees): 4.5639 4.5639 4.0942 90.00 90.00 90.00
Element x y z (fractional)
Lu1 0.0000 0.0000 0.0000
Sn1 0.5000 0.5000 0.0000
Au1 0.0000 0.5000 0.5000
Au2 0.5000 0.0000 0.5000

- formation energy from the elements (eV per atom) = -0.57
- DOS(E_F) (states/eV/f.u.) = 2.22
- crystal system = tetragonal
- E_tot (eV/atom) = -4.343